#P
Pr4ErIn2 | PBE | relaxed

Space-group type: No. 65

Lattice parameters (Å, degrees): 6.6547 6.6547 6.3816 90.00 90.00 127.32
Closest atoms and distances in Å follow each position.
Fractional coordinates of all 7 atoms:
Pr  0.0000  0.5000  0.5000  2 Pr 2.95
Pr  0.1365  0.8635  0.0000  1 Pr 3.26, 2 Er 3.58
Pr  0.5000  0.0000  0.5000  2 Pr 2.95
Pr  0.8635  0.1365  0.0000  1 Pr 3.26, 2 Er 3.58
Er  0.0000  0.0000  0.5000  8 Pr 3.33-3.58, 4 In 3.37
In  0.5000  0.5000  0.2462  2 In 3.14-3.24, 2 Er 3.37
In  0.5000  0.5000  0.7538  2 In 3.14-3.24, 2 Er 3.37

#Q
Pr4ErIn2 | PBE | relaxed

Space-group type: No. 11

Lattice parameters (Å, degrees): 8.6465 6.7429 8.7869 90.00 119.35 90.00
Closest atoms and distances in Å follow each position.
Fractional coordinates of all 14 atoms:
Pr  0.0076  0.2500  0.4668  1 Er 3.27, 2 In 3.29-3.30, 5 Pr 3.32-3.50
Pr  0.1751  0.5032  0.2314  4 Pr 3.33-3.69, 3 In 3.35-3.42, 2 Er 3.61-3.73
Pr  0.1751  0.9968  0.2314  4 Pr 3.33-3.69, 3 In 3.35-3.42, 2 Er 3.61-3.73
Pr  0.2943  0.2500  0.8915  4 In 3.29-3.44, 1 Pr 3.32, 1 Er 3.44
Pr  0.7057  0.7500  0.1085  4 In 3.29-3.44, 1 Pr 3.32, 1 Er 3.44
Pr  0.8249  0.0032  0.7686  4 Pr 3.33-3.69, 3 In 3.35-3.42, 2 Er 3.61-3.73
Pr  0.8249  0.4968  0.7686  4 Pr 3.33-3.69, 3 In 3.35-3.42, 2 Er 3.61-3.73
Pr  0.9924  0.7500  0.5332  1 Er 3.27, 2 In 3.29-3.30, 5 Pr 3.32-3.50
Er  0.4175  0.7500  0.6657  4 In 3.21-3.43, 2 Pr 3.27-3.44
Er  0.5825  0.2500  0.3343  4 In 3.21-3.43, 2 Pr 3.27-3.44
In  0.2694  0.7500  0.9560  6 Pr 3.29-3.44, 1 Er 3.37, 1 In 3.40
In  0.4387  0.2500  0.6082  3 Er 3.21-3.43, 6 Pr 3.29-3.42, 1 In 3.40
In  0.5613  0.7500  0.3918  3 Er 3.21-3.43, 6 Pr 3.29-3.42, 1 In 3.40
In  0.7306  0.2500  0.0440  6 Pr 3.29-3.44, 1 Er 3.37, 1 In 3.40

It is #Q that is the most stable of them.

#P
Pr2Er3In3 | PBE | relaxed

Space-group type: No. 71

Lattice parameters (Å, degrees): 10.6837 10.6837 10.6837 155.32 153.60 36.45
Closest atoms and distances in Å follow each position.
Fractional coordinates of all 8 atoms:
Pr  0.2407  0.2407  0.0000  4 In 3.34-3.73, 4 Pr 3.36, 4 Er 3.52-3.70
Pr  0.7593  0.7593  0.0000  4 In 3.34-3.73, 4 Pr 3.36, 4 Er 3.52-3.70
Er  0.0000  0.0000  0.0000  8 In 3.34, 4 Er 3.39
Er  0.3841  0.8841  0.5000  6 In 3.28-3.34, 2 Er 3.39, 2 Pr 3.52
Er  0.6159  0.1159  0.5000  6 In 3.28-3.34, 2 Er 3.39, 2 Pr 3.52
In  0.1204  0.6204  0.5000  4 Pr 3.34-3.73, 6 Er 3.34, 2 In 3.45
In  0.5000  0.5000  0.0000  8 Er 3.28-3.34, 4 In 3.45
In  0.8796  0.3796  0.5000  4 Pr 3.34-3.73, 6 Er 3.34, 2 In 3.45

#Q
Pr2Er3In3 | PBE | relaxed

Space-group type: No. 47

Lattice parameters (Å, degrees): 4.9163 4.9982 9.2750 90.00 90.00 90.00
Closest atoms and distances in Å follow each position.
Fractional coordinates of all 8 atoms:
Pr  0.0000  0.0000  0.2444  6 In 3.34-3.44, 6 Er 3.42-3.51
Pr  0.0000  0.0000  0.7556  6 In 3.34-3.44, 6 Er 3.42-3.51
Er  0.5000  0.0000  0.5000  4 Pr 3.42, 4 In 3.51, 4 Er 3.54
Er  0.5000  0.5000  0.2298  6 In 3.25-3.51, 4 Pr 3.51, 2 Er 3.54
Er  0.5000  0.5000  0.7702  6 In 3.25-3.51, 4 Pr 3.51, 2 Er 3.54
In  0.0000  0.5000  0.0000  4 Er 3.25, 4 Pr 3.37, 4 In 3.51
In  0.0000  0.5000  0.5000  4 Pr 3.44, 8 Er 3.51
In  0.5000  0.0000  0.0000  4 Er 3.28, 4 Pr 3.34, 4 In 3.51

It is #Q that is the most stable of them.

#P
TbPrErIn | PBE | relaxed

Space-group type: No. 216

Lattice parameters (Å, degrees): 5.4998 5.4998 5.4998 60.00 60.00 60.00
Closest atoms and distances in Å follow each position.
Fractional coordinates of all 4 atoms:
Tb  0.0000  0.0000  0.0000  4 Pr 3.37, 4 In 3.37
Pr  0.7500  0.7500  0.7500  4 Er 3.37, 4 Tb 3.37
Er  0.5000  0.5000  0.5000  4 Pr 3.37, 4 In 3.37
In  0.2500  0.2500  0.2500  4 Er 3.37, 4 Tb 3.37

#Q
TbPrErIn | PBE | relaxed

Space-group type: No. 216

Lattice parameters (Å, degrees): 5.5168 5.5168 5.5168 60.00 60.00 60.00
Closest atoms and distances in Å follow each position.
Fractional coordinates of all 4 atoms:
Tb  0.0000  0.0000  0.0000  4 In 3.38, 4 Er 3.38
Pr  0.5000  0.5000  0.5000  4 Er 3.38, 4 In 3.38
Er  0.7500  0.7500  0.7500  4 Pr 3.38, 4 Tb 3.38
In  0.2500  0.2500  0.2500  4 Pr 3.38, 4 Tb 3.38

It is #Q that is the most stable of them.